No. 1
Material: TlOs2Cl
Method: DFT, PBE
State: relaxed

```
TlOs2Cl
1.0
2.800 0.000 0.000
0.000 4.208 0.000
0.000 0.000 6.172
Tl Os Cl
1 2 1
Direct
0.000 0.000 0.000 Tl
0.500 0.500 0.304 Os
0.500 0.500 0.696 Os
0.000 0.000 0.500 Cl
```

Calculated values
* uncorrected formation energy: 1.53 eV per atom
* symmetry: Pmmm, No. 47
* energy relative to the lowest polymorph listed for this composition: 1.169 eV per atom
* E_tot: -5.134 eV per atom



No. 2
Material: TlOsCl2
Method: DFT, PBE
State: relaxed

```
TlOsCl2
1.0
4.622 0.000 0.000
0.000 3.150 0.000
-0.617 0.000 5.762
Tl Os Cl
1 1 2
Direct
0.000 0.000 0.000 Tl
0.000 0.500 0.500 Os
0.500 0.000 0.500 Cl
0.500 0.500 0.000 Cl
```

Calculated values
* uncorrected formation energy: 0.81 eV per atom
* symmetry: P2/m, No. 10
* energy relative to the lowest polymorph listed for this composition: 0.703 eV per atom
* E_tot: -3.510 eV per atom



No. 3
Material: TlOs2Cl11
Method: DFT, PBE
State: relaxed

```
TlOs2Cl11
1.0
8.577 -6.576 0.000
8.577 6.576 0.000
-6.686 0.000 8.565
Tl Os Cl
2 4 22
Direct
0.200 0.800 0.000 Tl
0.800 0.200 0.000 Tl
0.351 0.351 0.411 Os
0.453 0.453 0.107 Os
0.851 0.851 0.128 Os
0.967 0.967 0.631 Os
0.071 0.071 0.900 Cl
0.096 0.850 0.251 Cl
0.104 0.355 0.283 Cl
0.180 0.934 0.624 Cl
0.225 0.473 0.923 Cl
0.338 0.338 0.168 Cl
0.345 0.345 0.612 Cl
0.346 0.592 0.518 Cl
0.355 0.104 0.283 Cl
0.426 0.673 0.288 Cl
0.473 0.225 0.923 Cl
0.547 0.547 0.024 Cl
0.592 0.346 0.518 Cl
0.609 0.857 0.016 Cl
0.673 0.426 0.288 Cl
0.745 0.994 0.629 Cl
0.840 0.840 0.344 Cl
0.850 0.096 0.251 Cl
0.853 0.853 0.917 Cl
0.857 0.609 0.016 Cl
0.934 0.180 0.624 Cl
0.994 0.745 0.629 Cl
```

Calculated values
* uncorrected formation energy: -0.49 eV per atom
* symmetry: Cm, No. 8
* E_tot: -3.713 eV per atom



No. 4
Material: TlOs2Cl
Method: DFT, PBE
State: relaxed

```
TlOs2Cl
1.0
1.442 -2.639 0.000
1.442 2.639 0.000
0.000 0.000 9.028
Tl Os Cl
1 2 1
Direct
0.000 0.000 0.000 Tl
0.500 0.500 0.266 Os
0.500 0.500 0.734 Os
0.000 0.000 0.500 Cl
```

Calculated values
* uncorrected formation energy: 1.26 eV per atom
* symmetry: Cmmm, No. 65
* energy relative to the lowest polymorph listed for this composition: 0.897 eV per atom
* E_tot: -5.406 eV per atom



No. 5
Material: Tl3OsCl7
Method: DFT, PBE
State: relaxed

```
Tl3OsCl7
1.0
5.207 -4.846 0.000
5.207 4.846 0.000
-3.585 0.000 7.066
Tl Os Cl
3 1 7
Direct
0.000 0.000 0.000 Tl
0.281 0.735 0.508 Tl
0.735 0.281 0.508 Tl
0.495 0.495 0.990 Os
0.181 0.526 0.777 Cl
0.346 0.346 0.142 Cl
0.461 0.810 0.195 Cl
0.526 0.181 0.777 Cl
0.646 0.646 0.840 Cl
0.810 0.461 0.195 Cl
0.948 0.948 0.615 Cl
```

Calculated values
* uncorrected formation energy: -0.74 eV per atom
* symmetry: Cm, No. 8
* E_tot: -3.583 eV per atom



No. 6
Material: TlOsCl2
Method: DFT, PBE
State: relaxed

```
TlOsCl2
1.0
1.809 1.045 9.780
-1.809 1.045 9.780
0.000 -2.089 9.780
Tl Os Cl
1 1 2
Direct
0.000 0.000 0.000 Tl
0.500 0.500 0.500 Os
0.126 0.126 0.126 Cl
0.874 0.874 0.874 Cl
```

Calculated values
* uncorrected formation energy: 0.26 eV per atom
* symmetry: R-3m, No. 166
* energy relative to the lowest polymorph listed for this composition: 0.153 eV per atom
* E_tot: -4.060 eV per atom



No. 7
Material: TlOsCl2
Method: DFT, PBE
State: relaxed

```
TlOsCl2
1.0
-1.508 2.201 7.110
1.508 -2.201 7.110
1.508 2.201 -7.110
Tl Os Cl
1 1 2
Direct
0.000 0.000 0.000 Tl
0.189 0.689 0.500 Os
0.321 0.321 0.000 Cl
0.665 0.165 0.500 Cl
```

Calculated values
* uncorrected formation energy: 0.50 eV per atom
* symmetry: Imm2, No. 44
* energy relative to the lowest polymorph listed for this composition: 0.393 eV per atom
* E_tot: -3.819 eV per atom



No. 8
Material: Tl2OsCl8
Method: DFT, PBE
State: relaxed

```
Tl2OsCl8
1.0
6.020 -4.848 0.000
6.020 4.848 0.000
-0.828 0.000 5.814
Tl Os Cl
2 1 8
Direct
0.132 0.132 0.305 Tl
0.868 0.868 0.695 Tl
0.500 0.500 0.500 Os
0.112 0.112 0.795 Cl
0.224 0.558 0.646 Cl
0.376 0.376 0.165 Cl
0.442 0.776 0.354 Cl
0.558 0.224 0.646 Cl
0.624 0.624 0.835 Cl
0.776 0.442 0.354 Cl
0.888 0.888 0.205 Cl
```

Calculated values
* uncorrected formation energy: -0.58 eV per atom
* symmetry: C2/m, No. 12
* E_tot: -3.371 eV per atom